Here is MnGaNO2 after structural relaxation from the Alexandria database. Energies are from PBE+U.

The total DFT energy (no corrections) is -29.97 eV for the cell shown. The calculation puts the volume at 11.65 A^3/atom. For the spin magnetization, the calculation gives 3.001 μB/f.u. The density of states at the Fermi level comes out at 1.921 states/eV/f.u.

a = 3.8885 Å, b = 3.8885 Å, c = 3.8536 Å
α = 90.00°, β = 90.00°, γ = 90.00°
Last column: nearest neighbours and their distance in Å.
Atoms (fractional coordinates):
Mn 0.0000 0.0000 0.0000  8 O 2.74, 4 N 2.75
Ga 0.5000 0.5000 0.5000  2 N 1.93, 4 O 1.94
N 0.5000 0.5000 0.0000  2 Ga 1.93
O 0.0000 0.5000 0.5000  2 Ga 1.94
O 0.5000 0.0000 0.5000  2 Ga 1.94